# 1
Ho4AuS5 after structural relaxation, computed with PBE.

Output
The magnetization comes out at 0.00 μB/f.u. As for the energy relative to the elements, uncorrected: -1.689 eV/atom. The total energy is -5.912 eV/atom. For the mass density, the calculation gives 6.205 Mg/m³.

Cell: 3.8868 8.5937 8.7668 Å, 107.16 102.81 90.00°
Element x y z (fractional)
Ho: 0.3149 0.8796 0.6297
Ho: 0.9961 0.7185 0.9923
Ho: 0.6851 0.1204 0.3703
Ho: 0.0039 0.2815 0.0077
Au: 0.5000 0.0000 0.0000
S: 0.8396 0.6902 0.6792
S: 0.8406 0.1206 0.6813
S: 0.1594 0.8794 0.3187
S: 0.5000 0.5000 0.0000
S: 0.1604 0.3098 0.3208

=====

# 2
Ho2AuS after structural relaxation, computed with PBE.

Output
The magnetization comes out at 0.00 μB/f.u. As for the energy relative to the elements, uncorrected: -1.258 eV/atom. The total energy is -5.399 eV/atom. The energy above the lowest structure with this stoichiometry comes out at 0.625 eV/f.u. For the mass density, the calculation gives 9.781 Mg/m³.

Cell: 3.8220 3.8220 7.8185 Å, 75.85 75.85 60.00°
Element x y z (fractional)
Ho: 0.0852 0.0852 0.7445
Ho: 0.2487 0.2487 0.2538
Au: 0.6681 0.6681 0.9958
S: 0.4980 0.4980 0.5059

=====

# 3
Ho7AuS5 after structural relaxation, computed with PBE.

Output
The magnetization comes out at 0.00 μB/f.u. As for the energy relative to the elements, uncorrected: -1.682 eV/atom. The total energy is -5.987 eV/atom. For the mass density, the calculation gives 8.646 Mg/m³.

Cell: 3.8694 6.7014 23.4042 Å, 89.99 90.00 106.89°
Element x y z (fractional)
Ho: 0.4727 0.9443 0.2500
Ho: 0.5279 0.0568 0.7500
Ho: 0.6379 0.2746 0.0363
Ho: 0.3627 0.7268 0.9637
Ho: 0.3626 0.7265 0.5362
Ho: 0.6379 0.2745 0.4637
Ho: 0.1859 0.3720 0.1754
Ho: 0.8147 0.6292 0.8246
Ho: 0.8145 0.6288 0.6754
Ho: 0.1860 0.3722 0.3246
Ho: 0.9103 0.8209 0.1083
Ho: 0.0904 0.1804 0.8917
Ho: 0.0901 0.1800 0.6083
Ho: 0.9103 0.8210 0.3917
Au: 0.7987 0.5969 0.2500
Au: 0.2019 0.4043 0.7501
S: 0.0003 0.0006 0.0000
S: 0.7257 0.4522 0.9298
S: 0.2749 0.5491 0.0702
S: 0.5479 0.0959 0.3593
S: 0.4526 0.9051 0.6407
S: 0.0002 0.0005 0.5000
S: 0.2749 0.5491 0.4298
S: 0.7256 0.4519 0.5702
S: 0.4528 0.9055 0.8593
S: 0.5478 0.0958 0.1407

=====

# 4
Ho3AuS after structural relaxation, computed with PBE.

Output
The magnetization comes out at 0.00 μB/f.u. As for the energy relative to the elements, uncorrected: -1.159 eV/atom. The total energy is -5.386 eV/atom. For the mass density, the calculation gives 9.742 Mg/m³.

Cell: 3.8065 8.8105 14.7150 Å, 90.00 90.00 90.00°
Element x y z (fractional)
Ho: 0.7500 0.1815 0.2887
Ho: 0.2500 0.6590 0.9519
Ho: 0.2500 0.0131 0.1090
Ho: 0.2500 0.5131 0.3910
Ho: 0.2500 0.1590 0.5481
Ho: 0.7500 0.4869 0.6090
Ho: 0.2500 0.3185 0.7887
Ho: 0.7500 0.9869 0.8910
Ho: 0.7500 0.3410 0.0481
Ho: 0.7500 0.6815 0.2113
Ho: 0.7500 0.8410 0.4519
Ho: 0.2500 0.8185 0.7113
Au: 0.2500 0.9087 0.3056
Au: 0.7500 0.0913 0.6944
Au: 0.7500 0.5913 0.8056
Au: 0.2500 0.4087 0.1944
S: 0.2500 0.6806 0.5462
S: 0.7500 0.3194 0.4538
S: 0.7500 0.8194 0.0462
S: 0.2500 0.1806 0.9538

=====

# 5
Ho2AuS after structural relaxation, computed with PBE.

Output
The magnetization comes out at 0.00 μB/f.u. As for the energy relative to the elements, uncorrected: -1.415 eV/atom. The total energy is -5.555 eV/atom. The energy above the lowest structure with this stoichiometry comes out at 0.000 eV/f.u. For the mass density, the calculation gives 10.260 Mg/m³.

Cell: 4.0932 3.9200 11.4442 Å, 99.86 90.00 90.00°
Element x y z (fractional)
Ho: 0.7500 0.6864 0.3729
Ho: 0.2500 0.3136 0.6271
Ho: 0.7500 0.9283 0.8566
Ho: 0.2500 0.0717 0.1434
Au: 0.2500 0.4536 0.9071
Au: 0.7500 0.5464 0.0929
S: 0.2500 0.1932 0.3863
S: 0.7500 0.8068 0.6137

=====

# 6
Ho6Au2Se3S after structural relaxation, computed with PBE.

Output
The magnetization comes out at 0.00 μB/f.u. As for the energy relative to the elements, uncorrected: -1.465 eV/atom. The total energy is -5.516 eV/atom. For the mass density, the calculation gives 9.546 Mg/m³.

Cell: 3.9651 8.3517 9.3676 Å, 108.11 102.22 90.00°
Element x y z (fractional)
Ho: 0.3347 0.8883 0.6695
Ho: 0.6592 0.6078 0.3184
Ho: 0.6653 0.1117 0.3305
Ho: 0.0079 0.2424 0.0158
Ho: 0.9921 0.7576 0.9842
Ho: 0.3408 0.3922 0.6816
Au: 0.8194 0.6257 0.6388
Au: 0.1806 0.3743 0.3612
Se: 0.5000 0.5000 0.0000
Se: 0.8400 0.1418 0.6800
Se: 0.1600 0.8582 0.3200
S: 0.5000 0.0000 0.0000

=====

# 7
Ho8AuSe4S3 after structural relaxation, computed with PBE.

Output
The magnetization comes out at 0.00 μB/f.u. As for the energy relative to the elements, uncorrected: -1.709 eV/atom. The total energy is -5.848 eV/atom. For the mass density, the calculation gives 8.740 Mg/m³.

Cell: 8.0008 8.0630 8.0013 Å, 119.75 120.00 90.00°
Element x y z (fractional)
Ho: 0.2484 0.7362 0.9878
Ho: 0.2484 0.7361 0.4968
Ho: 0.2580 0.2740 0.5160
Ho: 0.7394 0.7362 0.9878
Ho: 0.2606 0.2638 0.0122
Ho: 0.7420 0.7260 0.4840
Ho: 0.7516 0.2639 0.5032
Ho: 0.7516 0.2638 0.0122
Au: 0.0000 0.5000 0.0000
Se: 0.5000 0.0000 0.0000
Se: 0.5000 0.0000 0.5000
Se: 0.0000 0.0000 0.0000
Se: 0.0000 0.0000 0.5000
S: 0.5000 0.5000 0.0000
S: 0.5000 0.5000 0.5000
S: 0.0000 0.5000 0.5000

=====

# 8
Ho4AuSeS2 after structural relaxation, computed with PBE.

Output
The magnetization comes out at 0.00 μB/f.u. As for the energy relative to the elements, uncorrected: -1.603 eV/atom. The total energy is -5.769 eV/atom. For the mass density, the calculation gives 9.131 Mg/m³.

Cell: 3.8976 7.0524 6.9636 Å, 71.77 90.00 90.00°
Element x y z (fractional)
Ho: 0.0000 0.7658 0.7437
Ho: 0.0000 0.2342 0.2563
Ho: 0.5000 0.7621 0.2472
Ho: 0.5000 0.2379 0.7528
Au: 0.0000 0.5000 0.5000
Se: 0.5000 0.5000 0.0000
S: 0.0000 0.0000 0.0000
S: 0.5000 0.0000 0.5000

=====

# 9
HoSnAuS after structural relaxation, computed with PBE.

Output
The magnetization comes out at 0.00 μB/f.u. As for the energy relative to the elements, uncorrected: -1.006 eV/atom. The total energy is -5.002 eV/atom. For the mass density, the calculation gives 8.527 Mg/m³.

Cell: 4.5271 4.5271 11.5492 Å, 78.70 78.70 60.00°
Element x y z (fractional)
Ho: 0.1148 0.1148 0.6555
Ho: 0.8852 0.8852 0.3445
Sn: 0.7003 0.7003 0.8991
Sn: 0.2997 0.2997 0.1009
Au: 0.6112 0.6112 0.1663
Au: 0.3888 0.3888 0.8337
S: 0.8030 0.8030 0.5909
S: 0.1970 0.1970 0.4091

=====

# 10
Ho6Te3AuS2 after structural relaxation, computed with PBE.

Output
The magnetization comes out at 0.00 μB/f.u. As for the energy relative to the elements, uncorrected: -1.437 eV/atom. The total energy is -5.472 eV/atom. For the mass density, the calculation gives 8.782 Mg/m³.

Cell: 7.1599 7.1599 7.3458 Å, 99.34 99.34 119.89°
Element x y z (fractional)
Ho: 0.9284 0.5897 0.7832
Ho: 0.7328 0.7328 0.2157
Ho: 0.0716 0.4103 0.2168
Ho: 0.5897 0.9284 0.7832
Ho: 0.2672 0.2672 0.7843
Ho: 0.4103 0.0716 0.2168
Te: 0.1664 0.8336 0.5000
Te: 0.8336 0.1664 0.5000
Te: 0.5000 0.5000 0.5000
Au: 0.0000 0.0000 0.0000
S: 0.3338 0.6662 0.0000
S: 0.6662 0.3338 0.0000

=====

# 11
Ho8Te4AuS3 after structural relaxation, computed with PBE.

Output
The magnetization comes out at 0.00 μB/f.u. As for the energy relative to the elements, uncorrected: -1.478 eV/atom. The total energy is -5.531 eV/atom. For the mass density, the calculation gives 8.646 Mg/m³.

Cell: 8.2377 8.4113 8.2383 Å, 119.33 120.00 90.00°
Element x y z (fractional)
Ho: 0.2409 0.7138 0.9729
Ho: 0.2409 0.7138 0.4818
Ho: 0.2656 0.2967 0.5312
Ho: 0.7320 0.7138 0.9729
Ho: 0.2680 0.2862 0.0271
Ho: 0.7344 0.7033 0.4688
Ho: 0.7591 0.2862 0.5182
Ho: 0.7591 0.2862 0.0271
Te: 0.5000 0.0000 0.0000
Te: 0.5000 0.0000 0.5000
Te: 0.0000 0.0000 0.0000
Te: 0.0000 0.0000 0.5000
Au: 0.0000 0.5000 0.0000
S: 0.5000 0.5000 0.0000
S: 0.5000 0.5000 0.5000
S: 0.0000 0.5000 0.5000